Here is a crystal of LiMn3Tl relaxed with PBEsol from Alexandria via LeMat-Bulk. Energies are from meta-GGA SCAN.

abc: 4.217 4.217 4.217
angles: 90.00 90.00 90.00
Space group Pm-3m (No. 221)
One atom of each set of equivalent atoms:
1 Li 0.000 0.000 0.000
2 Mn 0.000 0.000 0.500
3 Tl 0.500 0.500 0.500

Its crystal system is cubic. The calculation puts the formation energy from the elements at 66 kJ/mol of atoms. The calculated volume is 75.0 Å³/cell.